(1)
Material: SrLiCu3
Method: DFT, PBE
State: optimized geometry

Structure (extended XYZ):
```
5
Lattice="5.630 0.000 0.000 0.000 5.630 0.000 0.000 0.000 5.630" Properties=species:S:1:pos:R:3 pbc="T T T"
Sr 0.000 0.000 0.000
Li 2.815 2.815 2.815
Cu 0.000 0.000 2.815
Cu 0.000 2.815 0.000
Cu 2.815 0.000 0.000
```

Results
* formation enthalpy at 0 K: 1.035 eV per atom
* energy relative to the lowest polymorph listed for this composition: 1016 meV per atom
* E: -10.71 eV per cell
* V: 35.690 Å³/atom

(2)
Material: Cs4Na3As2
Method: DFT, PBE
State: optimized geometry

Structure (extended XYZ):
```
9
Lattice="10.320 -2.526 0.000 10.320 2.526 0.000 -2.642 0.000 8.594" Properties=species:S:1:pos:R:3 pbc="T T T"
Cs 0.582 0.000 2.783
Cs 3.458 0.000 7.096
Cs 14.539 0.000 1.498
Cs 17.415 0.000 5.810
Na 7.640 0.000 1.927
Na 10.320 0.000 0.000
Na 10.357 0.000 6.667
As -0.355 0.000 8.022
As 18.352 0.000 0.572
```

Results
* formation enthalpy at 0 K: -0.229 eV per atom
* E: -18.73 eV per cell
* V: 49.779 Å³/atom

(3)
Material: BeAlSb2
Method: DFT, PBE
State: optimized geometry

Structure (extended XYZ):
```
4
Lattice="1.960 -2.753 0.000 1.960 2.753 0.000 0.000 0.000 7.915" Properties=species:S:1:pos:R:3 pbc="T T T"
Be 0.000 0.000 0.000
Al 0.000 0.000 3.957
Sb 1.960 0.000 1.684
Sb 1.960 0.000 6.230
```

Results
* ΔE_f (raw): 0.41 eV/atom
* energy relative to the lowest polymorph listed for this composition: 326 meV per atom
* E: -14.08 eV per cell
* V: 21.356 Å³/atom

(4)
Material: AgAuS2
Method: DFT, PBE
State: optimized geometry

Structure (extended XYZ):
```
4
Lattice="0.000 3.290 3.290 3.290 0.000 3.290 3.290 3.290 0.000" Properties=species:S:1:pos:R:3 pbc="T T T"
Ag 0.000 0.000 0.000
Au 3.290 3.290 3.290
S 1.645 1.645 1.645
S 4.935 4.935 4.935
```

Results
* ΔE_f (raw): 0.54 eV/atom
* E: -12.21 eV per cell
* V: 17.809 Å³/atom

(5)
Material: CaMnPd2
Method: DFT, PBE
State: optimized geometry

Structure (extended XYZ):
```
8
Lattice="-2.287 2.287 8.631 2.287 -2.287 8.631 2.287 2.287 -8.631" Properties=species:S:1:pos:R:3 pbc="T T T"
Ca 0.000 0.000 0.000
Ca 0.000 2.287 4.316
Mn 2.287 0.000 4.316
Mn 0.000 0.000 8.631
Pd 1.143 -0.699 6.473
Pd 1.587 1.143 2.158
Pd 1.143 2.986 -2.158
Pd 0.699 1.143 10.789
```

Results
* formation enthalpy at 0 K: 0.071 eV per atom
* E: -42.55 eV per cell
* V: 22.563 Å³/atom

(6)
Material: TbHo2Bi
Method: DFT, PBE
State: optimized geometry

Structure (extended XYZ):
```
4
Lattice="4.059 0.000 0.000 0.000 4.059 0.000 0.000 0.000 7.228" Properties=species:S:1:pos:R:3 pbc="T T T"
Tb 0.000 0.000 0.000
Ho 2.030 2.030 1.938
Ho 2.030 2.030 5.290
Bi 0.000 0.000 3.614
```

Results
* formation enthalpy at 0 K: -0.330 eV per atom
* energy relative to the lowest polymorph listed for this composition: 1 meV per atom
* E: -18.99 eV per cell
* V: 29.774 Å³/atom

(7)
Material: Sr2LiPb2
Method: DFT, PBE
State: optimized geometry

Structure (extended XYZ):
```
5
Lattice="-2.765 2.765 6.915 2.765 -2.765 6.915 2.765 2.765 -6.915" Properties=species:S:1:pos:R:3 pbc="T T T"
Sr 2.765 0.000 3.458
Sr 0.000 2.765 3.458
Li 0.000 0.000 0.000
Pb 0.000 0.000 5.472
Pb 0.000 0.000 8.358
```

Results
* formation enthalpy at 0 K: -0.032 eV per atom
* energy relative to the lowest polymorph listed for this composition: 464 meV per atom
* E: -12.85 eV per cell
* V: 42.297 Å³/atom

(8)
Material: CsTl3Hg3
Method: DFT, PBE
State: optimized geometry

Structure (extended XYZ):
```
14
Lattice="8.548 0.000 0.000 0.000 8.548 0.000 0.000 0.000 8.548" Properties=species:S:1:pos:R:3 pbc="T T T"
Cs 0.000 0.000 0.000
Cs 4.274 4.274 4.274
Tl 0.000 2.137 4.274
Tl 0.000 6.411 4.274
Tl 2.137 4.274 0.000
Tl 4.274 0.000 2.137
Tl 4.274 0.000 6.411
Tl 6.411 4.274 0.000
Hg 0.000 4.274 2.137
Hg 0.000 4.274 6.411
Hg 2.137 0.000 4.274
Hg 4.274 2.137 0.000
Hg 4.274 6.411 0.000
Hg 6.411 0.000 4.274
```

Results
* formation enthalpy at 0 K: 0.006 eV per atom
* energy relative to the lowest polymorph listed for this composition: 93 meV per atom
* E: -17.64 eV per cell
* V: 44.617 Å³/atom

(9)
Material: AsPb4
Method: DFT, PBE
State: optimized geometry

Structure (extended XYZ):
```
5
Lattice="5.606 0.000 0.000 0.000 5.606 0.000 0.000 0.000 5.606" Properties=species:S:1:pos:R:3 pbc="T T T"
As 0.000 0.000 0.000
Pb 0.000 0.000 2.803
Pb 0.000 2.803 0.000
Pb 2.803 0.000 0.000
Pb 2.803 2.803 2.803
```

Results
* formation enthalpy at 0 K: 0.322 eV per atom
* energy relative to the lowest polymorph listed for this composition: 278 meV per atom
* E: -17.87 eV per cell
* V: 35.229 Å³/atom

(10)
Material: NpAgGeO5
Method: DFT, PBE
State: optimized geometry

Structure (extended XYZ):
```
16
Lattice="3.439 -4.832 0.000 3.439 4.832 0.000 -3.237 0.000 7.270" Properties=species:S:1:pos:R:3 pbc="T T T"
Np 0.000 0.000 0.000
Np -1.619 0.000 3.635
Ag 1.011 1.671 5.452
Ag 2.629 -1.671 1.817
Ge 2.629 1.857 1.817
Ge 1.011 -1.857 5.452
O 1.011 4.163 5.452
O 1.425 2.893 2.631
O 1.892 0.782 0.613
O 3.834 2.893 1.004
O 0.274 -0.782 4.248
O 3.366 0.782 3.022
O -0.194 -2.893 6.266
O 1.748 -0.782 6.656
O 2.215 -2.893 4.639
O 2.629 -4.163 1.817
```

Results
* ΔE_f (raw): -1.87 eV/atom
* E: -120.37 eV per cell
* V: 15.100 Å³/atom

(11)
Material: Fe3HW
Method: DFT, PBE
State: optimized geometry

Structure (extended XYZ):
```
10
Lattice="2.592 1.497 4.217 -2.592 1.497 4.217 0.000 -2.993 4.217" Properties=species:S:1:pos:R:3 pbc="T T T"
Fe -1.361 -0.786 6.287
Fe 0.000 -1.469 4.217
Fe -1.272 0.735 4.217
Fe 1.272 0.735 4.217
Fe 1.361 -0.786 6.287
Fe 0.000 1.572 6.287
H 0.000 0.000 6.530
H 0.000 0.000 11.674
W 0.000 0.000 2.103
W 0.000 0.000 8.477
```

Results
* energy relative to the lowest polymorph listed for this composition: 56 meV per atom
* E: -82.75 eV per cell
* V: 9.814 Å³/atom

(12)
Material: Nd8Y5In
Method: DFT, PBE
State: optimized geometry

Structure (extended XYZ):
```
14
Lattice="7.833 -4.230 0.000 7.833 4.230 0.000 -4.411 0.000 7.250" Properties=species:S:1:pos:R:3 pbc="T T T"
Nd 4.629 1.766 0.600
Nd 1.138 0.000 1.293
Nd 1.595 -0.782 5.614
Nd 6.626 1.766 6.650
Nd 3.080 -2.295 3.099
Nd 9.660 -0.782 1.635
Nd 10.116 0.000 5.957
Nd 8.175 -2.295 4.151
Y 5.627 3.896 3.625
Y 3.848 1.128 3.964
Y 7.407 1.128 3.286
Y 6.112 -1.649 1.627
Y 5.143 -1.649 5.623
In 7.833 1.307 0.000
```

Results
* formation enthalpy at 0 K: 0.089 eV per atom
* E: -71.95 eV per cell
* V: 34.313 Å³/atom